# 1
Material: Ca2VHgMo
Method: DFT, PBE-GGA
State: optimized geometry

Properties
E_form, eV/f.u.: 6.8

a b c (Å): 5.668 5.668 4.992
angles (deg): 90.00 90.00 90.00
Atoms (fractional coordinates):
Ca: 0.000 0.500 0.000
Ca: 0.500 0.000 0.000
V: 0.000 0.000 0.500
Hg: 0.000 0.000 0.000
Mo: 0.500 0.500 0.500


# 2
Material: Tb4PS2N
Method: DFT, PBE-GGA
State: optimized geometry

Properties
Final energy, eV per cell: -54.927

a b c (Å): 6.653 3.823 6.765
angles (deg): 90.00 108.94 90.00
Atoms (fractional coordinates):
Tb: 0.222 0.000 0.218
Tb: 0.236 0.500 0.772
Tb: 0.764 0.500 0.228
Tb: 0.778 0.000 0.782
P: 0.500 0.000 0.000
S: 0.000 0.000 0.500
S: 0.500 0.500 0.500
N: 0.000 0.500 0.000


Number 1: total moment 4.82 Bohr magnetons per cell, Fermi-level density of states 6.26 states/eV/cell. Number 2: total moment 0.00 Bohr magnetons per cell, Fermi-level density of states 2.62 states/eV/cell.